{
  "formula": "AlGeAs2Br",
  "functional": "PBE-GGA",
  "state": "relaxed",
  "lattice": [[4.920, 0.000, 0.000], [0.000, 4.920, 0.000], [0.000, 0.000, 4.993]],
  "species": ["Al", "Ge", "Br", "As", "As"],
  "fractional_positions": [[0.000, 0.000, 0.000], [0.500, 0.500, 0.500], [0.000, 0.000, 0.500], [0.500, 0.000, 0.000], [0.000, 0.500, 0.000]],
  "e_above_lowest_polymorph_mev_per_atom": 0,
  "energy_ev_per_atom": -3.45,
  "e_form_raw_ev_per_fu": 2.07,
  "sg": "P4/mmm"
}